Entry from the Alexandria database: a relaxed structure of NaLa2Sn3Te6 (GGA-PBE).

Values from the calculation:
Volume   34.07 Å³ per atom
Crystal system   monoclinic
Total energy   -4.307 eV per atom
Formation energy from raw total energies   -77.6 kJ per mole of atoms

Cell: 4.5279 9.2940 10.3195 Å, 104.86 102.67 90.00°
Fractional coordinates of all 12 atoms:
Na 0.5000 0.0000 0.0000
La 0.8342 0.6651 0.6683
La 0.1658 0.3349 0.3317
Sn 0.5000 0.5000 0.0000
Sn 0.8396 0.1572 0.6792
Sn 0.1604 0.8428 0.3208
Te 0.3273 0.9133 0.6545
Te 0.6665 0.5892 0.3331
Te 0.6727 0.0867 0.3455
Te 0.0016 0.2556 0.0031
Te 0.9984 0.7444 0.9969
Te 0.3335 0.4108 0.6669